Ac2TbWO8 | Alexandria via LeMat-Bulk | GGA+U | relaxed; D(E_F) = 9.698 states/eV/cell; symmetry = Cmmm, No. 65; DFT total energy = -92.401 eV/cell
1.0
-4.472 -2.705 -1.270
1.465 0.233 -5.171
3.505 -6.131 0.716
W Ac O Tb
1 2 8 1
Direct
0.000 0.000 0.000
0.500 0.500 0.755
0.500 0.500 0.245
0.258 0.257 0.000
0.742 0.743 0.000
0.170 0.830 0.209
0.704 0.704 0.500
0.830 0.170 0.209
0.296 0.296 0.500
0.830 0.170 0.791
0.170 0.830 0.791
0.000 0.000 0.500